Model 1:
# Cd2SiSn

A geometry-optimized Cd2SiSn structure (PBE, Alexandria via LeMat-Bulk).

The structure in CIF format:
```
data_Cd2SiSn
_cell_length_a 8.121
_cell_length_b 8.121
_cell_length_c 5.763
_cell_angle_alpha 90.00
_cell_angle_beta 90.00
_cell_angle_gamma 90.00
_space_group_name_H-M_alt 'I -4 2 d'
_space_group_IT_number 122
_space_group_name_Hall 'I -4 2bw'
loop_
_atom_site_label
_atom_site_type_symbol
_atom_site_fract_x
_atom_site_fract_y
_atom_site_fract_z
Cd1 Cd 0.209 0.250 0.125
Si1 Si 0.000 0.000 0.000
Sn1 Sn 0.000 0.000 0.500
```

=====

Model 2:
# Cd2SiSn

A geometry-optimized Cd2SiSn structure (PBE, Alexandria via LeMat-Bulk).

The structure in CIF format:
```
data_Cd2SiSn
_cell_length_a 7.162
_cell_length_b 7.162
_cell_length_c 7.162
_cell_angle_alpha 90.00
_cell_angle_beta 90.00
_cell_angle_gamma 90.00
_space_group_name_H-M_alt 'F m -3 m'
_space_group_IT_number 225
_space_group_name_Hall '-F 4 2 3'
loop_
_atom_site_label
_atom_site_type_symbol
_atom_site_fract_x
_atom_site_fract_y
_atom_site_fract_z
Cd1 Cd 0.250 0.250 0.250
Si1 Si 0.000 0.000 0.000
Sn1 Sn 0.000 0.000 0.500
```

=====

Which of them is the most stable, and which is the least stable? model 1 and model 2, in that order.

=====

Model 1:
# CdSi2Sn2

A geometry-optimized CdSi2Sn2 structure (PBE, Alexandria via LeMat-Bulk).

The structure in CIF format:
```
data_CdSi2Sn2
_cell_length_a 3.464
_cell_length_b 3.464
_cell_length_c 19.033
_cell_angle_alpha 90.00
_cell_angle_beta 90.00
_cell_angle_gamma 90.00
_space_group_name_H-M_alt 'I 4/m m m'
_space_group_IT_number 139
_space_group_name_Hall '-I 4 2'
loop_
_atom_site_label
_atom_site_type_symbol
_atom_site_fract_x
_atom_site_fract_y
_atom_site_fract_z
Cd1 Cd 0.000 0.000 0.000
Si1 Si 0.000 0.500 0.250
Sn1 Sn 0.000 0.000 0.385
```

=====

Model 2:
# CdSi2Sn2

A geometry-optimized CdSi2Sn2 structure (PBE, Alexandria via LeMat-Bulk).

The structure in CIF format:
```
data_CdSi2Sn2
_cell_length_a 5.092
_cell_length_b 5.092
_cell_length_c 9.220
_cell_angle_alpha 90.00
_cell_angle_beta 90.00
_cell_angle_gamma 90.00
_space_group_name_H-M_alt 'I 4/m m m'
_space_group_IT_number 139
_space_group_name_Hall '-I 4 2'
loop_
_atom_site_label
_atom_site_type_symbol
_atom_site_fract_x
_atom_site_fract_y
_atom_site_fract_z
Cd1 Cd 0.000 0.000 0.000
Si1 Si 0.000 0.000 0.372
Sn1 Sn 0.000 0.500 0.250
```

=====

Model 3:
# CdSi2Sn2

A geometry-optimized CdSi2Sn2 structure (PBE, Alexandria via LeMat-Bulk).

The structure in CIF format:
```
data_CdSi2Sn2
_cell_length_a 7.306
_cell_length_b 7.306
_cell_length_c 4.243
_cell_angle_alpha 90.00
_cell_angle_beta 90.00
_cell_angle_gamma 90.00
_space_group_name_H-M_alt 'P 4/m b m'
_space_group_IT_number 127
_space_group_name_Hall '-P 4 2ab'
loop_
_atom_site_label
_atom_site_type_symbol
_atom_site_fract_x
_atom_site_fract_y
_atom_site_fract_z
Cd1 Cd 0.000 0.000 0.000
Si1 Si 0.117 0.383 0.000
Sn1 Sn 0.194 0.694 0.500
```

=====

Which of them is the most stable, and which is the least stable? model 1 and model 3, in that order.

=====

Model 1:
# TaCdSi3

A geometry-optimized TaCdSi3 structure (PBE, Alexandria via LeMat-Bulk).

The structure in CIF format:
```
data_TaCdSi3
_cell_length_a 4.829
_cell_length_b 4.829
_cell_length_c 4.829
_cell_angle_alpha 90.00
_cell_angle_beta 90.00
_cell_angle_gamma 90.00
_space_group_name_H-M_alt 'P m -3 m'
_space_group_IT_number 221
_space_group_name_Hall '-P 4 2 3'
loop_
_atom_site_label
_atom_site_type_symbol
_atom_site_fract_x
_atom_site_fract_y
_atom_site_fract_z
Ta1 Ta 0.000 0.000 0.000
Cd1 Cd 0.500 0.500 0.500
Si1 Si 0.000 0.500 0.500
```

=====

Model 2:
# TaCdSi3

A geometry-optimized TaCdSi3 structure (PBE, Alexandria via LeMat-Bulk).

The structure in CIF format:
```
data_TaCdSi3
_cell_length_a 4.944
_cell_length_b 4.944
_cell_length_c 4.944
_cell_angle_alpha 90.00
_cell_angle_beta 90.00
_cell_angle_gamma 90.00
_space_group_name_H-M_alt 'P m -3 m'
_space_group_IT_number 221
_space_group_name_Hall '-P 4 2 3'
loop_
_atom_site_label
_atom_site_type_symbol
_atom_site_fract_x
_atom_site_fract_y
_atom_site_fract_z
Ta1 Ta 0.000 0.000 0.000
Cd1 Cd 0.500 0.500 0.500
Si1 Si 0.000 0.000 0.500
```

=====

Which of them is the most stable, and which is the least stable? model 2 and model 1, in that order.

=====

Model 1:
# TaCd3Si

A geometry-optimized TaCd3Si structure (PBE, Alexandria via LeMat-Bulk).

The structure in CIF format:
```
data_TaCd3Si
_cell_length_a 4.963
_cell_length_b 4.963
_cell_length_c 4.963
_cell_angle_alpha 90.00
_cell_angle_beta 90.00
_cell_angle_gamma 90.00
_space_group_name_H-M_alt 'P m -3 m'
_space_group_IT_number 221
_space_group_name_Hall '-P 4 2 3'
loop_
_atom_site_label
_atom_site_type_symbol
_atom_site_fract_x
_atom_site_fract_y
_atom_site_fract_z
Ta1 Ta 0.000 0.000 0.000
Cd1 Cd 0.000 0.500 0.500
Si1 Si 0.500 0.500 0.500
```

=====

Model 2:
# TaCd3Si

A geometry-optimized TaCd3Si structure (PBE, Alexandria via LeMat-Bulk).

The structure in CIF format:
```
data_TaCd3Si
_cell_length_a 5.372
_cell_length_b 5.372
_cell_length_c 5.372
_cell_angle_alpha 90.00
_cell_angle_beta 90.00
_cell_angle_gamma 90.00
_space_group_name_H-M_alt 'P m -3 m'
_space_group_IT_number 221
_space_group_name_Hall '-P 4 2 3'
loop_
_atom_site_label
_atom_site_type_symbol
_atom_site_fract_x
_atom_site_fract_y
_atom_site_fract_z
Ta1 Ta 0.000 0.000 0.000
Cd1 Cd 0.000 0.000 0.500
Si1 Si 0.500 0.500 0.500
```

=====

Which of them is the most stable, and which is the least stable? model 1 and model 2, in that order.

=====

Model 1:
# CdSiTc

A geometry-optimized CdSiTc structure (PBE, Alexandria via LeMat-Bulk).

The structure in CIF format:
```
data_CdSiTc
_cell_length_a 2.9755
_cell_length_b 2.9755
_cell_length_c 6.6393
_cell_angle_alpha 90.00
_cell_angle_beta 90.00
_cell_angle_gamma 120.00
_space_group_name_H-M_alt 'P 3 m 1'
_space_group_IT_number 156
loop_
_space_group_symop_operation_xyz
'x,y,z'
'-y,x-y,z'
'-x+y,-x,z'
'-y,-x,z'
'-x+y,y,z'
'x,x-y,z'
loop_
_atom_site_label
_atom_site_type_symbol
_atom_site_fract_x
_atom_site_fract_y
_atom_site_fract_z
Cd1 Cd 0.0000 0.0000 0.0000
Si1 Si 0.3333 0.6667 0.3792
Tc1 Tc 0.6667 0.3333 0.6375
```

=====

Model 2:
# CdSiTc

A geometry-optimized CdSiTc structure (PBE, Alexandria via LeMat-Bulk).

The structure in CIF format:
```
data_CdSiTc
_cell_length_a 3.204
_cell_length_b 3.204
_cell_length_c 9.916
_cell_angle_alpha 90.00
_cell_angle_beta 90.00
_cell_angle_gamma 90.00
_space_group_name_H-M_alt 'I 4 m m'
_space_group_IT_number 107
_space_group_name_Hall 'I 4 -2'
loop_
_atom_site_label
_atom_site_type_symbol
_atom_site_fract_x
_atom_site_fract_y
_atom_site_fract_z
Cd1 Cd 0.000 0.000 0.000
Si1 Si 0.000 0.000 0.714
Tc1 Tc 0.000 0.000 0.299
```

=====

Model 3:
# CdSiTc

A geometry-optimized CdSiTc structure (PBE, Alexandria via LeMat-Bulk).

The structure in CIF format:
```
data_CdSiTc
_cell_length_a 4.1190
_cell_length_b 4.1190
_cell_length_c 3.4948
_cell_angle_alpha 90.00
_cell_angle_beta 90.00
_cell_angle_gamma 120.00
_space_group_name_H-M_alt 'P -6 m 2'
_space_group_IT_number 187
_space_group_name_Hall 'P -6 2'
loop_
_atom_site_label
_atom_site_type_symbol
_atom_site_fract_x
_atom_site_fract_y
_atom_site_fract_z
Cd1 Cd 0.0000 0.0000 0.0000
Si1 Si 0.3333 0.6667 0.5000
Tc1 Tc 0.6667 0.3333 0.5000
```

=====

Which of them is the most stable, and which is the least stable? model 2 and model 1, in that order.

=====

Model 1:
# CdSi2Tc2

A geometry-optimized CdSi2Tc2 structure (PBE, Alexandria via LeMat-Bulk).

The structure in CIF format:
```
data_CdSi2Tc2
_cell_length_a 7.043
_cell_length_b 7.043
_cell_length_c 2.978
_cell_angle_alpha 90.00
_cell_angle_beta 90.00
_cell_angle_gamma 90.00
_space_group_name_H-M_alt 'P 4/m b m'
_space_group_IT_number 127
_space_group_name_Hall '-P 4 2ab'
loop_
_atom_site_label
_atom_site_type_symbol
_atom_site_fract_x
_atom_site_fract_y
_atom_site_fract_z
Cd1 Cd 0.000 0.000 0.000
Si1 Si 0.135 0.365 0.000
Tc1 Tc 0.155 0.655 0.500
```

=====

Model 2:
# CdSi2Tc2

A geometry-optimized CdSi2Tc2 structure (PBE, Alexandria via LeMat-Bulk).

The structure in CIF format:
```
data_CdSi2Tc2
_cell_length_a 3.479
_cell_length_b 3.479
_cell_length_c 13.008
_cell_angle_alpha 90.00
_cell_angle_beta 90.00
_cell_angle_gamma 90.00
_space_group_name_H-M_alt 'I 4/m m m'
_space_group_IT_number 139
_space_group_name_Hall '-I 4 2'
loop_
_atom_site_label
_atom_site_type_symbol
_atom_site_fract_x
_atom_site_fract_y
_atom_site_fract_z
Cd1 Cd 0.000 0.000 0.000
Si1 Si 0.000 0.500 0.250
Tc1 Tc 0.000 0.000 0.384
```

=====

Model 3:
# CdSi2Tc2

A geometry-optimized CdSi2Tc2 structure (PBE, Alexandria via LeMat-Bulk).

The structure in CIF format:
```
data_CdSi2Tc2
_cell_length_a 7.156
_cell_length_b 7.156
_cell_length_c 2.965
_cell_angle_alpha 90.00
_cell_angle_beta 90.00
_cell_angle_gamma 90.00
_space_group_name_H-M_alt 'P 4/m b m'
_space_group_IT_number 127
_space_group_name_Hall '-P 4 2ab'
loop_
_atom_site_label
_atom_site_type_symbol
_atom_site_fract_x
_atom_site_fract_y
_atom_site_fract_z
Cd1 Cd 0.000 0.000 0.000
Si1 Si 0.145 0.355 0.500
Tc1 Tc 0.145 0.645 0.000
```

=====

Which of them is the most stable, and which is the least stable? model 1 and model 2, in that order.